(1)
Below is a relaxed structure of ScCrTc3, with properties calculated at the PBE level.

ΔE_f   2.089 eV/atom
N(E_F)   1.25 states/eV/atom
Crystal system   cubic
ΔE to the lowest computed polymorph   135.94 kJ/mol of atoms

The structure in CIF format:
```
data_ScCrTc3
_space_group_name_H-M_alt 'P m -3 m'
_space_group_IT_number 221
_space_group_name_Hall '-P 4 2 3'
_cell_length_a 4.487
_cell_length_b 4.487
_cell_length_c 4.487
_cell_angle_alpha 90.00
_cell_angle_beta 90.00
_cell_angle_gamma 90.00
loop_
_atom_site_label
_atom_site_fract_x
_atom_site_fract_y
_atom_site_fract_z
Sc1 0.000 0.000 0.000
Cr1 0.500 0.500 0.500
Tc1 0.000 0.000 0.500
```


(2)
Below is a relaxed structure of As4I2Br5, with properties calculated at the PBE level.

N(E_F)   0.10 states/eV/atom
Crystal system   monoclinic
Uncorrected formation energy   -2.13 kcal/mol of atoms

The structure in CIF format:
```
data_As4I2Br5
_space_group_name_H-M_alt 'C 1 2/m 1'
_space_group_IT_number 12
_cell_length_a 15.355
_cell_length_b 7.581
_cell_length_c 11.071
_cell_angle_alpha 90.00
_cell_angle_beta 128.23
_cell_angle_gamma 90.00
loop_
_space_group_symop_operation_xyz
'x,y,z'
'-x,-y,-z'
'-x,y,-z'
'x,-y,z'
'x+1/2,y+1/2,z'
'-x+1/2,-y+1/2,-z'
'-x+1/2,y+1/2,-z'
'x+1/2,-y+1/2,z'
loop_
_atom_site_label
_atom_site_fract_x
_atom_site_fract_y
_atom_site_fract_z
As1 0.188 0.000 0.082
As2 0.225 0.500 0.638
I1 0.162 0.500 0.949
Br1 0.000 0.500 0.500
Br2 0.142 0.250 0.264
```


> What is the N(E_F) in the first record?

1.25 states/eV/atom


> Among the records above, which one has the highest N(E_F)?

ScCrTc3